Compound: Y6HgS3
Source: the Alexandria database
Functional: PBE
Structure: optimized geometry

Cell lengths 3.929, 12.274, 11.747 Å; angles 116.11, 90.00, 90.00 degrees
Element x y z (fractional)
Y: 0.750 0.443 0.605
Y: 0.250 0.557 0.395
Y: 0.750 0.926 0.081
Y: 0.250 0.074 0.919
Y: 0.750 0.372 0.060
Y: 0.250 0.628 0.940
Y: 0.750 0.721 0.241
Y: 0.250 0.279 0.759
Y: 0.750 0.104 0.459
Y: 0.250 0.896 0.541
Y: 0.750 0.768 0.721
Y: 0.250 0.232 0.279
Hg: 0.750 0.075 0.724
Hg: 0.250 0.925 0.276
S: 0.750 0.450 0.852
S: 0.250 0.550 0.148
S: 0.750 0.725 0.471
S: 0.250 0.275 0.529
S: 0.750 0.158 0.097
S: 0.250 0.842 0.903

The total energy is -128.72 eV for the cell shown. The calculation puts the formation energy from raw total energies at -1289 meV/atom. The calculation puts the spin magnetization at 0.00 μB/atom.

Compound: Rb2CdOsAu
Source: the Alexandria database
Functional: PBE
Structure: optimized geometry

Cell lengths 6.680, 5.191, 6.680 Å; angles 90.00, 90.00, 90.00 degrees
Last column: magnetic moment on the atom in μB.
Element x y z (fractional)
Os: 0.000 0.500 0.000  2.07
Au: 0.500 0.500 0.500  0.02
Rb: 0.000 0.000 0.500  -0.01
Rb: 0.500 0.000 0.000  -0.01
Cd: 0.000 0.000 0.000  -0.02

The total energy is -11.88 eV for the cell shown. As for the formation energy: 1.096 eV per atom. The calculation puts the spin magnetization at 0.45 μB/atom.

Compound: TmThCo2
Source: the Alexandria database
Functional: PBE
Structure: optimized geometry

Cell lengths 3.763, 3.942, 5.597 Å; angles 90.00, 109.63, 90.00 degrees
Element x y z (fractional)
Tm: 0.443 0.500 0.425
Th: 0.721 0.000 0.981
Co: 0.162 0.500 0.862
Co: 0.005 0.000 0.550

The total energy is -27.27 eV for the cell shown. As for the formation energy: -0.291 eV per atom. The calculation puts the energy above the most stable polymorph in this dataset at 0 meV per atom. The calculation puts the spin magnetization at 0.00 μB/atom.

Compound: Tb5Tm2Sc
Source: the Alexandria database
Functional: PBE
Structure: optimized geometry

Cell lengths 8.961, 8.961, 8.794 Å; angles 120.63, 120.63, 90.00 degrees
Last column: magnetic moment on the atom in μB.
Element x y z (fractional)
Tb: 0.487 0.683 0.670  0.00
Tb: 0.817 0.013 0.330  0.00
Tb: 0.000 0.000 0.000  0.11
Tb: 0.500 0.500 0.000  0.11
Tb: 0.183 0.987 0.670  0.00
Tb: 0.683 0.183 0.670  0.00
Tb: 0.987 0.487 0.670  0.00
Tb: 0.317 0.817 0.330  0.00
Tb: 0.013 0.513 0.330  0.00
Tb: 0.513 0.317 0.330  0.00
Tm: 0.143 0.357 0.000  0.00
Tm: 0.643 0.143 0.000  0.00
Tm: 0.357 0.857 0.000  0.00
Tm: 0.857 0.643 0.000  0.00
Sc: 0.750 0.750 0.500  0.17
Sc: 0.250 0.250 0.500  0.17

The total energy is -75.16 eV for the cell shown. As for the formation energy: 0.106 eV per atom. The calculation puts the energy above the most stable polymorph in this dataset at 92 meV per atom. The calculation puts the spin magnetization at 0.04 μB/atom.

Compound: LaNi2AgIr
Source: the Alexandria database
Functional: PBE
Structure: optimized geometry

Cell lengths 4.707, 5.001, 4.707 Å; angles 90.00, 90.00, 90.00 degrees
Element x y z (fractional)
Ni: 0.000 0.000 0.500
Ni: 0.500 0.000 0.000
Ir: 0.000 0.500 0.000
Ag: 0.500 0.500 0.500
La: 0.000 0.000 0.000

The total energy is -21.34 eV for the cell shown. As for the formation energy: 1.373 eV per atom. The calculation puts the spin magnetization at 0.00 μB/atom.

Compound: La2PrY3Te6
Source: the Alexandria database
Functional: PBE
Structure: optimized geometry

Cell lengths 4.430, 9.007, 10.019 Å; angles 104.11, 102.77, 90.00 degrees
Element x y z (fractional)
La: 0.835 0.670 0.669
La: 0.165 0.330 0.331
Pr: 0.500 0.000 0.000
Y: 0.500 0.500 0.000
Y: 0.834 0.167 0.667
Y: 0.166 0.833 0.333
Te: 0.330 0.927 0.661
Te: 0.663 0.591 0.327
Te: 0.670 0.073 0.339
Te: 0.996 0.257 0.992
Te: 0.004 0.743 0.008
Te: 0.337 0.409 0.673

The total energy is -70.08 eV for the cell shown. The calculation puts the formation energy from raw total energies at -1434 meV/atom. The calculation puts the spin magnetization at 0.00 μB/atom.

Compound: CuOsBr2
Source: the Alexandria database
Functional: PBE
Structure: optimized geometry

Cell lengths 4.780, 4.780, 7.127 Å; angles 71.85, 71.85, 45.53 degrees
Last column: magnetic moment on the atom in μB.
Element x y z (fractional)
Br: 0.895 0.895 0.111  0.04
Br: 0.737 0.737 0.617  0.04
Cu: 0.561 0.561 0.419  0.17
Os: 0.308 0.308 0.354  0.72

The total energy is -16.50 eV for the cell shown. The calculation puts the formation energy from raw total energies at 543 meV/atom. The calculation puts the energy above the most stable polymorph in this dataset at 123 meV per atom. The calculation puts the spin magnetization at 0.26 μB/atom.

Compound: YSiAsN2
Source: the Alexandria database
Functional: PBE
Structure: optimized geometry

Cell lengths 3.650, 8.348, 3.650 Å; angles 90.00, 90.00, 90.00 degrees
Element x y z (fractional)
Y: 0.000 0.500 0.000
As: 0.500 0.500 0.500
Si: 0.000 0.000 0.000
N: 0.000 0.000 0.500
N: 0.500 0.000 0.000

The total energy is -31.11 eV for the cell shown. The calculation puts the formation energy from raw total energies at 416 meV/atom. The calculation puts the spin magnetization at 0.00 μB/atom.

Compound: Te2OsRh
Source: the Alexandria database
Functional: PBE
Structure: optimized geometry

Cell lengths 5.532, 5.532, 5.532 Å; angles 138.00, 138.00, 60.90 degrees
Element x y z (fractional)
Te: 0.000 0.000 0.000
Te: 0.250 0.750 0.500
Os: 0.500 0.500 0.000
Rh: 0.750 0.250 0.500

The total energy is -22.22 eV for the cell shown. The calculation puts the formation energy from raw total energies at 661 meV/atom. The calculation puts the energy above the most stable polymorph in this dataset at 685 meV per atom. The calculation puts the spin magnetization at 0.00 μB/atom.

Compound: LuZnCu2
Source: the Alexandria database
Functional: PBE
Structure: optimized geometry

Cell lengths 3.210, 3.210, 6.333 Å; angles 90.00, 90.00, 90.00 degrees
Element x y z (fractional)
Zn: 0.500 0.500 0.000
Lu: 0.500 0.500 0.500
Cu: 0.000 0.000 0.789
Cu: 0.000 0.000 0.211

The total energy is -14.61 eV for the cell shown. As for the formation energy: -0.155 eV per atom. The calculation puts the spin magnetization at 0.00 μB/atom.

Compound: Cu2BrCl
Source: the Alexandria database
Functional: PBE
Structure: optimized geometry

Cell lengths 6.427, 6.427, 6.427 Å; angles 33.72, 33.72, 33.72 degrees
Element x y z (fractional)
Cu: 0.247 0.247 0.247
Cu: 0.753 0.753 0.753
Br: 0.000 0.000 0.000
Cl: 0.500 0.500 0.500

The total energy is -12.21 eV for the cell shown. The calculation puts the formation energy from raw total energies at -125 meV/atom. The calculation puts the energy above the most stable polymorph in this dataset at 180 meV per atom. The calculation puts the spin magnetization at 0.00 μB/atom.

Compound: Ni7Sn2MoPt2
Source: the Alexandria database
Functional: PBE
Structure: optimized geometry

Cell lengths 3.530, 3.530, 14.078 Å; angles 82.73, 82.73, 90.01 degrees
Element x y z (fractional)
Ni: 0.500 0.500 0.000
Ni: 0.268 0.268 0.461
Ni: 0.732 0.732 0.539
Ni: 0.934 0.434 0.130
Ni: 0.434 0.934 0.130
Ni: 0.566 0.066 0.870
Ni: 0.066 0.566 0.870
Sn: 0.818 0.818 0.359
Sn: 0.182 0.182 0.641
Mo: 0.000 0.000 0.000
Pt: 0.636 0.636 0.731
Pt: 0.364 0.364 0.269

The total energy is -72.58 eV for the cell shown. As for the formation energy: -0.100 eV per atom. The calculation puts the spin magnetization at 0.00 μB/atom.

Compound: NaV2CoS8
Source: the Alexandria database
Functional: PBE
Structure: optimized geometry

Cell lengths 6.121, 6.121, 8.242 Å; angles 68.20, 68.20, 60.00 degrees
Element x y z (fractional)
Na: 0.500 0.500 0.500
V: 0.257 0.257 0.230
V: 0.743 0.743 0.770
Co: 0.000 0.000 0.000
S: 0.163 0.163 0.512
S: 0.640 0.252 0.173
S: 0.837 0.837 0.488
S: 0.936 0.640 0.173
S: 0.064 0.360 0.827
S: 0.252 0.936 0.173
S: 0.748 0.064 0.827
S: 0.360 0.748 0.827

The total energy is -63.99 eV for the cell shown. The calculation puts the formation energy from raw total energies at -359 meV/atom. The calculation puts the spin magnetization at 0.00 μB/atom.

Compound: PmPr2Y6Ho2
Source: the Alexandria database
Functional: PBE
Structure: optimized geometry

Cell lengths 6.690, 6.690, 12.149 Å; angles 101.48, 101.48, 129.51 degrees
Element x y z (fractional)
Pm: 0.000 0.000 0.500
Pr: 0.865 0.135 0.000
Pr: 0.135 0.865 0.000
Y: 0.710 0.710 0.708
Y: 0.135 0.442 0.787
Y: 0.290 0.290 0.292
Y: 0.442 0.135 0.787
Y: 0.865 0.558 0.213
Y: 0.558 0.865 0.213
Ho: 0.297 0.703 0.500
Ho: 0.703 0.297 0.500

The total energy is -60.60 eV for the cell shown. As for the formation energy: 0.150 eV per atom. The calculation puts the spin magnetization at 0.00 μB/atom.

Compound: YV2Ir
Source: the Alexandria database
Functional: PBE
Structure: optimized geometry

Cell lengths 4.503, 4.503, 4.503 Å; angles 60.00, 60.00, 60.00 degrees
Element x y z (fractional)
Y: 0.000 0.000 0.000
Ir: 0.500 0.500 0.500
V: 0.250 0.250 0.250
V: 0.750 0.750 0.750

The total energy is -33.39 eV for the cell shown. As for the formation energy: 0.043 eV per atom. The calculation puts the energy above the most stable polymorph in this dataset at 0 meV per atom. The calculation puts the spin magnetization at 0.00 μB/atom.

Compound: In8Ga3Sn4
Source: the Alexandria database
Functional: PBE
Structure: optimized geometry

Cell lengths 4.917, 4.917, 16.367 Å; angles 90.00, 90.00, 90.00 degrees
Element x y z (fractional)
In: 0.500 0.000 0.105
In: 0.500 0.000 0.617
In: 0.000 0.500 0.383
In: 0.000 0.500 0.895
In: 0.500 0.500 0.242
In: 0.500 0.500 0.758
In: 0.000 0.000 0.249
In: 0.000 0.000 0.751
Ga: 0.500 0.500 0.500
Ga: 0.000 0.000 0.000
Ga: 0.000 0.000 0.500
Sn: 0.500 0.000 0.388
Sn: 0.500 0.000 0.892
Sn: 0.000 0.500 0.108
Sn: 0.000 0.500 0.612

The total energy is -46.39 eV for the cell shown. As for the formation energy: 0.040 eV per atom. The calculation puts the spin magnetization at 0.00 μB/atom.

Compound: RbGeP2S8
Source: the Alexandria database
Functional: PBE
Structure: optimized geometry

Cell lengths 5.872, 5.872, 10.706 Å; angles 74.08, 74.08, 60.00 degrees
Element x y z (fractional)
Rb: 0.500 0.500 0.500
Ge: 0.000 0.000 0.000
P: 0.264 0.264 0.208
P: 0.736 0.736 0.792
S: 0.199 0.199 0.404
S: 0.621 0.288 0.149
S: 0.801 0.801 0.596
S: 0.943 0.621 0.149
S: 0.057 0.379 0.851
S: 0.288 0.943 0.149
S: 0.712 0.057 0.851
S: 0.379 0.712 0.851

The total energy is -52.23 eV for the cell shown. The calculation puts the formation energy from raw total energies at -234 meV/atom. The calculation puts the spin magnetization at 0.00 μB/atom.

Compound: AcMn2Bi
Source: the Alexandria database
Functional: PBE
Structure: optimized geometry

Cell lengths 4.383, 4.828, 4.828 Å; angles 90.00, 90.00, 90.00 degrees
Last column: magnetic moment on the atom in μB.
Element x y z (fractional)
Ac: 0.500 0.000 0.000  -0.12
Mn: 0.000 0.000 0.500  3.77
Mn: 0.000 0.500 0.000  3.77
Bi: 0.500 0.500 0.500  -0.07

The total energy is -25.10 eV for the cell shown. As for the formation energy: 0.307 eV per atom. The calculation puts the spin magnetization at 1.91 μB/atom.

Compound: LiTbDy
Source: the Alexandria database
Functional: PBE
Structure: optimized geometry

Cell lengths 3.602, 3.602, 12.807 Å; angles 90.00, 90.00, 90.00 degrees
Element x y z (fractional)
Tb: 0.000 0.500 0.599
Tb: 0.500 0.000 0.401
Dy: 0.500 0.000 0.784
Dy: 0.000 0.500 0.216
Li: 0.000 0.500 0.949
Li: 0.500 0.000 0.051

The total energy is -21.98 eV for the cell shown. As for the formation energy: 0.051 eV per atom. The calculation puts the energy above the most stable polymorph in this dataset at 1 meV per atom. The calculation puts the spin magnetization at 0.00 μB/atom.

Compound: YCuHg3
Source: the Alexandria database
Functional: PBE
Structure: optimized geometry

Cell lengths 5.888, 5.888, 5.888 Å; angles 90.00, 90.00, 90.00 degrees
Element x y z (fractional)
Y: 0.000 0.000 0.000
Hg: 0.000 0.500 0.000
Hg: 0.000 0.000 0.500
Hg: 0.500 0.000 0.000
Cu: 0.500 0.500 0.500

The total energy is -7.79 eV for the cell shown. As for the formation energy: 0.735 eV per atom. The calculation puts the energy above the most stable polymorph in this dataset at 704 meV per atom. The calculation puts the spin magnetization at 0.00 μB/atom.

Compound: CaHf2SbBr
Source: the Alexandria database
Functional: PBE
Structure: optimized geometry

Cell lengths 5.528, 4.974, 5.528 Å; angles 90.00, 90.00, 90.00 degrees
Element x y z (fractional)
Sb: 0.500 0.500 0.500
Ca: 0.000 0.000 0.000
Hf: 0.000 0.000 0.500
Hf: 0.500 0.000 0.000
Br: 0.000 0.500 0.000

The total energy is -21.76 eV for the cell shown. The calculation puts the formation energy from raw total energies at 1188 meV/atom. The calculation puts the spin magnetization at 0.00 μB/atom.

Compound: CaTl2Re
Source: the Alexandria database
Functional: PBE
Structure: optimized geometry

Cell lengths 5.171, 5.171, 6.009 Å; angles 81.55, 81.55, 34.80 degrees
Element x y z (fractional)
Re: 0.250 0.250 0.250
Tl: 0.990 0.990 0.024
Tl: 0.510 0.510 0.476
Ca: 0.750 0.750 0.750

The total energy is -17.03 eV for the cell shown. As for the formation energy: 0.537 eV per atom. The calculation puts the energy above the most stable polymorph in this dataset at 7 meV per atom. The calculation puts the spin magnetization at 0.00 μB/atom.

Compound: Mg2TcP
Source: the Alexandria database
Functional: PBE
Structure: optimized geometry

Cell lengths 8.199, 8.199, 6.244 Å; angles 48.96, 48.96, 90.00 degrees
Last column: magnetic moment on the atom in μB.
Element x y z (fractional)
P: 0.500 0.500 0.000  0.01
P: 0.250 0.750 0.500  0.01
Mg: 0.533 0.125 0.250  -0.01
Mg: 0.217 0.625 0.250  -0.01
Mg: 0.375 0.467 0.750  -0.01
Mg: 0.875 0.783 0.750  -0.01
Tc: 0.000 0.000 0.000  0.92
Tc: 0.750 0.250 0.500  0.92

The total energy is -35.86 eV for the cell shown. As for the formation energy: 0.259 eV per atom. The calculation puts the spin magnetization at 0.26 μB/atom.